DFT (PBE) results for a geometry-optimized TaTc2N structure.

Computed properties:
The value obtained for the formation energy from raw total energies is -5 meV/atom. The total energy is -81.9 eV for the cell shown. Its crystal system is tetragonal. The total moment is 0.00 Bohr magnetons per cell.

Lattice parameters (Å, degrees): 5.4273 5.4273 5.4273 99.97 99.97 130.82
Closest atoms and distances in Å follow each position.
Fractional positions:
Ta1 0.0000 0.0000 0.0000  2 N 2.26
Ta2 0.7500 0.2500 0.5000  2 N 2.26
Tc1 0.2381 0.6250 0.1131  2 N 2.07
Tc2 0.3750 0.4881 0.6131  2 N 2.07
Tc3 0.5119 0.1250 0.8869  2 N 2.07
Tc4 0.8750 0.7619 0.3869  2 N 2.07
N1 0.2500 0.7500 0.5000  4 Tc 2.07, 2 Ta 2.26
N2 0.5000 0.5000 0.0000  4 Tc 2.07, 2 Ta 2.26

=====

DFT (PBE) results for a geometry-optimized AlCo2Pb structure.

Computed properties:
The formation energy is 0.0106 eV per atom. The total energy is -43.2 eV for the cell shown. The calculation puts the polymorph energy (0 for the lowest one) at 47.4 meV per atom. Its crystal system is orthorhombic. The total moment is 0.51 Bohr magnetons per cell.

Lattice parameters (Å, degrees): 9.8337 9.8337 4.0513 90.00 90.00 161.97
Closest atoms and distances in Å follow each position.
Fractional positions:
Al1 0.0472 0.9528 0.7500  8 Co 2.43-2.55
Al2 0.9528 0.0472 0.2500  8 Co 2.43-2.55
Co1 0.3558 0.6442 0.2500  2 Al 2.43, 4 Pb 2.66, 2 Co 2.70
Co2 0.4479 0.5521 0.7500  6 Al 2.47-2.55, 2 Co 2.70
Co3 0.5521 0.4479 0.2500  6 Al 2.47-2.55, 2 Co 2.70
Co4 0.6442 0.3558 0.7500  2 Al 2.43, 4 Pb 2.66, 2 Co 2.70
Pb1 0.1845 0.8155 0.2500  4 Co 2.66
Pb2 0.8155 0.1845 0.7500  4 Co 2.66

=====

- Among the records above, which one has the lowest total moment?
  TaTc2N

=====

- What is the total moment in the first record?
  0.00 Bohr magnetons per cell

=====

What did the second record say?
DFT (PBE) results for a geometry-optimized AlCo2Pb structure.

Computed properties:
The formation energy is 0.0106 eV per atom. The total energy is -43.2 eV for the cell shown. The calculation puts the polymorph energy (0 for the lowest one) at 47.4 meV per atom. Its crystal system is orthorhombic. The total moment is 0.51 Bohr magnetons per cell.

Lattice parameters (Å, degrees): 9.8337 9.8337 4.0513 90.00 90.00 161.97
Closest atoms and distances in Å follow each position.
Fractional positions:
Al1 0.0472 0.9528 0.7500  8 Co 2.43-2.55
Al2 0.9528 0.0472 0.2500  8 Co 2.43-2.55
Co1 0.3558 0.6442 0.2500  2 Al 2.43, 4 Pb 2.66, 2 Co 2.70
Co2 0.4479 0.5521 0.7500  6 Al 2.47-2.55, 2 Co 2.70
Co3 0.5521 0.4479 0.2500  6 Al 2.47-2.55, 2 Co 2.70
Co4 0.6442 0.3558 0.7500  2 Al 2.43, 4 Pb 2.66, 2 Co 2.70
Pb1 0.1845 0.8155 0.2500  4 Co 2.66
Pb2 0.8155 0.1845 0.7500  4 Co 2.66